Entry 1:
Here is a relaxed Ba crystal from Alexandria. Energies are from PBE-GGA.

## Properties
M_tot: 0.00 μB per formula unit
Energy relative to the lowest polymorph listed for this composition: 0.111 eV per atom
V: 63.2 Å³/f.u.
Total DFT energy (no corrections): -1.811 eV per atom

a = 4.4834 Å, b = 7.3040 Å, c = 15.4463 Å
α = 90.00°, β = 90.00°, γ = 90.00°
Positions (direct):
Ba 0.0000 0.0000 0.1298
Ba 0.0000 0.0000 0.8702
Ba 0.0000 0.5000 0.3702
Ba 0.0000 0.5000 0.6298
Ba 0.5000 0.0000 0.3702
Ba 0.5000 0.0000 0.6298
Ba 0.5000 0.5000 0.1298
Ba 0.5000 0.5000 0.8702

***

Entry 2:
Here is a relaxed Ba crystal from Alexandria. Energies are from PBE-GGA.

## Properties
M_tot: 0.00 μB per formula unit
Energy relative to the lowest polymorph listed for this composition: 0.019 eV per atom
V: 63.9 Å³/f.u.
Total DFT energy (no corrections): -1.904 eV per atom

a = 6.3471 Å, b = 6.3471 Å, c = 6.3471 Å
α = 90.00°, β = 90.00°, γ = 90.00°
Positions (direct):
Ba 0.0000 0.0000 0.0000
Ba 0.0000 0.5000 0.5000
Ba 0.5000 0.0000 0.5000
Ba 0.5000 0.5000 0.0000

***

Entry 3:
Here is a relaxed Ba crystal from Alexandria. Energies are from PBE-GGA.

## Properties
M_tot: 0.00 μB per formula unit
Energy relative to the lowest polymorph listed for this composition: 0.520 eV per atom
V: 65.0 Å³/f.u.
Total DFT energy (no corrections): -1.403 eV per atom

a = 6.6801 Å, b = 6.6801 Å, c = 6.7266 Å
α = 90.00°, β = 90.00°, γ = 120.00°
Positions (direct):
Ba 0.0000 0.0000 0.2500
Ba 0.0000 0.0000 0.7500
Ba 0.3333 0.6667 0.2500
Ba 0.6667 0.3333 0.7500

***

Entry 4:
Here is a relaxed Ba crystal from Alexandria. Energies are from PBE-GGA.

## Properties
M_tot: 0.65 μB per formula unit
Energy relative to the lowest polymorph listed for this composition: 0.841 eV per atom
V: 140.4 Å³/f.u.
Total DFT energy (no corrections): -1.082 eV per atom

a = 13.0983 Å, b = 13.0983 Å, c = 13.0983 Å
α = 90.00°, β = 90.00°, γ = 90.00°
Positions (direct):
Ba 0.1099 0.1099 0.8901
Ba 0.1099 0.8901 0.1099
Ba 0.2001 0.2001 0.2001
Ba 0.2001 0.7999 0.7999
Ba 0.2999 0.2999 0.7001
Ba 0.2999 0.7001 0.2999
Ba 0.3901 0.3901 0.3901
Ba 0.3901 0.6099 0.6099
Ba 0.6099 0.3901 0.6099
Ba 0.6099 0.6099 0.3901
Ba 0.7001 0.2999 0.2999
Ba 0.7001 0.7001 0.7001
Ba 0.7999 0.2001 0.7999
Ba 0.7999 0.7999 0.2001
Ba 0.8901 0.1099 0.1099
Ba 0.8901 0.8901 0.8901

***

Entry 5:
Here is a relaxed Ba crystal from Alexandria. Energies are from PBE-GGA.

## Properties
M_tot: 0.00 μB per formula unit
Energy relative to the lowest polymorph listed for this composition: 0.165 eV per atom
V: 63.8 Å³/f.u.
Total DFT energy (no corrections): -1.757 eV per atom

a = 15.5870 Å, b = 15.5870 Å, c = 4.2012 Å
α = 90.00°, β = 90.00°, γ = 90.00°
Positions (direct):
Ba 0.0948 0.6393 0.0000
Ba 0.1091 0.1575 0.0000
Ba 0.1425 0.4021 0.5000
Ba 0.1575 0.8909 0.0000
Ba 0.3406 0.6067 0.5000
Ba 0.3607 0.0948 0.0000
Ba 0.3933 0.3406 0.5000
Ba 0.4021 0.8575 0.5000
Ba 0.5979 0.1425 0.5000
Ba 0.6067 0.6594 0.5000
Ba 0.6393 0.9052 0.0000
Ba 0.6594 0.3933 0.5000
Ba 0.8425 0.1091 0.0000
Ba 0.8575 0.5979 0.5000
Ba 0.8909 0.8425 0.0000
Ba 0.9052 0.3607 0.0000

***

Entry 6:
Here is a relaxed Ba crystal from Alexandria. Energies are from PBE-GGA.

## Properties
M_tot: 0.61 μB per formula unit
Energy relative to the lowest polymorph listed for this composition: 0.736 eV per atom
V: 90.9 Å³/f.u.
Total DFT energy (no corrections): -1.187 eV per atom

a = 7.2484 Å, b = 7.2484 Å, c = 3.9974 Å
α = 90.00°, β = 90.00°, γ = 120.00°
Positions (direct):
Ba 0.3333 0.6667 0.0000
Ba 0.6667 0.3333 0.0000

***

Entry 7:
Here is a relaxed Ba crystal from Alexandria. Energies are from PBE-GGA.

## Properties
M_tot: 0.00 μB per formula unit
Energy relative to the lowest polymorph listed for this composition: 0.017 eV per atom
V: 63.7 Å³/f.u.
Total DFT energy (no corrections): -1.906 eV per atom

a = 4.4854 Å, b = 4.4854 Å, c = 14.6286 Å
α = 90.00°, β = 90.00°, γ = 120.00°
Positions (direct):
Ba 0.0000 0.0000 0.0000
Ba 0.0000 0.0000 0.5000
Ba 0.3333 0.6667 0.2500
Ba 0.6667 0.3333 0.7500

***

Entry 8:
Here is a relaxed Ba crystal from Alexandria. Energies are from PBE-GGA.

## Properties
M_tot: 0.00 μB per formula unit
Energy relative to the lowest polymorph listed for this composition: 0.975 eV per atom
V: 58.3 Å³/f.u.
Total DFT energy (no corrections): -0.947 eV per atom

a = 7.7557 Å, b = 7.7557 Å, c = 7.7557 Å
α = 90.00°, β = 90.00°, γ = 90.00°
Positions (direct):
Ba 0.1250 0.1250 0.1250
Ba 0.1250 0.6250 0.6250
Ba 0.3750 0.3750 0.8750
Ba 0.3750 0.8750 0.3750
Ba 0.6250 0.1250 0.6250
Ba 0.6250 0.6250 0.1250
Ba 0.8750 0.3750 0.3750
Ba 0.8750 0.8750 0.8750

***

Entry 9:
Here is a relaxed Ba crystal from Alexandria. Energies are from PBE-GGA.

## Properties
M_tot: 0.00 μB per formula unit
Energy relative to the lowest polymorph listed for this composition: 0.040 eV per atom
V: 63.3 Å³/f.u.
Total DFT energy (no corrections): -1.883 eV per atom

a = 4.2870 Å, b = 7.9642 Å, c = 7.7211 Å
α = 90.00°, β = 106.03°, γ = 90.00°
Positions (direct):
Ba 0.0000 0.1251 0.2500
Ba 0.0000 0.8749 0.7500
Ba 0.5000 0.3749 0.7500
Ba 0.5000 0.6251 0.2500

***

Entry 10:
Here is a relaxed Ba crystal from Alexandria. Energies are from PBE-GGA.

## Properties
M_tot: 0.00 μB per formula unit
Energy relative to the lowest polymorph listed for this composition: 0.000 eV per atom
V: 62.9 Å³/f.u.
Total DFT energy (no corrections): -1.923 eV per atom

a = 5.0130 Å, b = 5.0130 Å, c = 5.0038 Å
α = 90.00°, β = 90.00°, γ = 90.00°
Positions (direct):
Ba 0.0000 0.0000 0.0000
Ba 0.5000 0.5000 0.5000

***

Entry 11:
Here is a relaxed Ba crystal from Alexandria. Energies are from PBE-GGA.

## Properties
M_tot: 0.00 μB per formula unit
Energy relative to the lowest polymorph listed for this composition: 0.154 eV per atom
V: 67.3 Å³/f.u.
Total DFT energy (no corrections): -1.769 eV per atom

a = 14.8814 Å, b = 14.8814 Å, c = 4.2121 Å
α = 90.00°, β = 90.00°, γ = 120.00°
Positions (direct):
Ba 0.0621 0.2918 0.2500
Ba 0.1479 0.6172 0.2500
Ba 0.2298 0.9379 0.2500
Ba 0.2918 0.2298 0.7500
Ba 0.3828 0.5308 0.2500
Ba 0.4692 0.8521 0.2500
Ba 0.5308 0.1479 0.7500
Ba 0.6172 0.4692 0.7500
Ba 0.7082 0.7702 0.2500
Ba 0.7702 0.0621 0.7500
Ba 0.8521 0.3828 0.7500
Ba 0.9379 0.7082 0.7500

***

Entry 12:
Here is a relaxed Ba crystal from Alexandria. Energies are from PBE-GGA.

## Properties
M_tot: 0.00 μB per formula unit
Energy relative to the lowest polymorph listed for this composition: 0.309 eV per atom
V: 61.6 Å³/f.u.
Total DFT energy (no corrections): -1.614 eV per atom

a = 3.9484 Å, b = 3.9484 Å, c = 3.9484 Å
α = 90.00°, β = 90.00°, γ = 90.00°
Positions (direct):
Ba 0.0000 0.0000 0.0000